No. 1
## Ca3ScV (GGA-PBE)

Data for Ca3ScV after structural relaxation.

Lattice parameters (Å, degrees): 5.6786 5.6786 5.6786 90.00 90.00 90.00
Each line ends with the local moment (μB).
Fractional positions:
Ca  0.0000  0.0000  0.5000  0.10
Ca  0.0000  0.5000  0.0000  0.10
Ca  0.5000  0.0000  0.0000  0.10
Sc  0.5000  0.5000  0.5000  -0.71
V  0.0000  0.0000  0.0000  3.02

Computed properties:
* formation energy from the elements: 0.82 eV per atom
* crystal system: cubic
* E_tot: -3.47 eV/atom

No. 2
## CePu4Se5 (GGA-PBE)

Data for CePu4Se5 after structural relaxation.

Lattice parameters (Å, degrees): 4.1680 5.8919 11.0192 105.51 100.90 90.00
Each line ends with the local moment (μB).
Fractional positions:
Se  0.8005  0.3005  0.6009  -0.10
Se  0.1995  0.6995  0.3991  -0.10
Se  0.0000  0.5000  0.0000  -0.07
Se  0.6025  0.1025  0.2049  -0.07
Se  0.3975  0.8975  0.7951  -0.07
Pu  0.4006  0.4006  0.8012  5.45
Pu  0.2004  0.2004  0.4008  5.47
Pu  0.5994  0.5994  0.1988  5.45
Pu  0.7996  0.7996  0.5992  5.47
Ce  0.0000  0.0000  0.0000  0.95

Computed properties:
* crystal system: orthorhombic
* E_tot: -9.65 eV/atom
* formation energy without anion corrections: -15.858 eV/f.u.

No. 3
## Ac2Al4CdCu3 (GGA-PBE)

Data for Ac2Al4CdCu3 after structural relaxation.

Lattice parameters (Å, degrees): 4.4515 4.4515 10.6577 90.00 90.00 90.00
Fractional positions:
Cu  0.5000  0.0000  0.8796
Cu  0.0000  0.5000  0.1204
Cu  0.0000  0.0000  0.5000
Cd  0.5000  0.5000  0.5000
Al  0.0000  0.0000  0.0000
Al  0.0000  0.5000  0.3577
Al  0.5000  0.0000  0.6423
Al  0.5000  0.5000  0.0000
Ac  0.0000  0.5000  0.7553
Ac  0.5000  0.0000  0.2447

Computed properties:
* formation energy from the elements: -0.31 eV per atom
* crystal system: tetragonal
* E_tot: -3.95 eV/atom

No. 4
## Ag2SeI2 (GGA-PBE)

Data for Ag2SeI2 after structural relaxation.

Lattice parameters (Å, degrees): 5.8998 5.8998 5.9522 60.29 60.29 90.00
Each line ends with the local moment (μB).
Fractional positions:
I  0.2500  0.7500  0.5000  0.13
I  0.7500  0.2500  0.5000  0.13
Ag  0.6821  0.6821  0.6358  0.03
Ag  0.3179  0.3179  0.3642  0.03
Se  0.0000  0.0000  0.0000  0.65

Computed properties:
* crystal system: tetragonal
* E_tot: -2.15 eV/atom
* formation energy without anion corrections: 1.528 eV/f.u.
* relative energy among the computed polymorphs: 0.019 eV per atom

No. 5
## ScSnSbI2 (GGA-PBE)

Data for ScSnSbI2 after structural relaxation.

Lattice parameters (Å, degrees): 5.5387 5.5387 5.9143 90.00 90.00 90.00
Fractional positions:
Sn  0.5000  0.5000  0.5000
Sb  0.0000  0.0000  0.5000
I  0.5000  0.0000  0.0000
I  0.0000  0.5000  0.0000
Sc  0.0000  0.0000  0.0000

Computed properties:
* crystal system: tetragonal
* E_tot: -3.70 eV/atom
* formation energy without anion corrections: -0.956 eV/f.u.
* relative energy among the computed polymorphs: 0.000 eV per atom

No. 6
## V12Ga3Tc (GGA-PBE)

Data for V12Ga3Tc after structural relaxation.

Lattice parameters (Å, degrees): 4.7708 4.7993 9.5575 90.00 90.00 90.00
Fractional positions:
V  0.7513  0.5000  0.0000
V  0.2468  0.5000  0.5000
V  0.0000  0.2452  0.2521
V  0.2487  0.5000  0.0000
V  0.5000  0.0000  0.6216
V  0.5000  0.0000  0.1277
V  0.5000  0.0000  0.8723
V  0.7532  0.5000  0.5000
V  0.0000  0.7548  0.7479
V  0.5000  0.0000  0.3784
V  0.0000  0.2452  0.7479
V  0.0000  0.7548  0.2521
Tc  0.0000  0.0000  0.5000
Ga  0.0000  0.0000  0.0000
Ga  0.5000  0.5000  0.2493
Ga  0.5000  0.5000  0.7507

Computed properties:
* formation energy from the elements: -0.20 eV per atom
* crystal system: orthorhombic
* E_tot: -8.25 eV/atom

No. 7
## BaY2AlRu (GGA-PBE)

Data for BaY2AlRu after structural relaxation.

Lattice parameters (Å, degrees): 5.3828 5.3828 5.1183 90.00 90.00 90.00
Fractional positions:
Al  0.0000  0.0000  0.5000
Y  0.0000  0.5000  0.0000
Y  0.5000  0.0000  0.0000
Ru  0.0000  0.0000  0.0000
Ba  0.5000  0.5000  0.5000

Computed properties:
* formation energy from the elements: -0.19 eV per atom
* crystal system: tetragonal
* E_tot: -5.76 eV/atom

No. 8
## SrCo2As (GGA-PBE)

Data for SrCo2As after structural relaxation.

Lattice parameters (Å, degrees): 4.2650 4.2650 3.9441 90.00 90.00 89.99
Each line ends with the local moment (μB).
Fractional positions:
Sr  0.5000  0.0000  0.5000  -0.07
Co  0.0000  0.0000  0.0000  1.52
Co  0.5000  0.5000  0.0000  1.52
As  0.0000  0.5000  0.5000  0.04

Computed properties:
* formation energy from the elements: 0.42 eV per atom
* crystal system: tetragonal
* E_tot: -4.72 eV/atom

No. 9
## HoRuF (GGA-PBE)

Data for HoRuF after structural relaxation.

Lattice parameters (Å, degrees): 3.1637 3.1637 9.1682 90.00 90.00 90.00
Fractional positions:
F  0.5000  0.0000  0.0709
F  0.0000  0.5000  0.9291
Ho  0.0000  0.5000  0.2029
Ho  0.5000  0.0000  0.7971
Ru  0.0000  0.5000  0.5741
Ru  0.5000  0.0000  0.4259

Computed properties:
* crystal system: tetragonal
* E_tot: -6.87 eV/atom
* formation energy without anion corrections: -4.878 eV/f.u.

No. 10
## KLi3Si (GGA-PBE)

Data for KLi3Si after structural relaxation.

Lattice parameters (Å, degrees): 4.8228 4.8228 4.8228 90.00 90.00 90.00
Fractional positions:
Li  0.0000  0.0000  0.5000
Li  0.0000  0.5000  0.0000
Li  0.5000  0.0000  0.0000
Si  0.5000  0.5000  0.5000
K  0.0000  0.0000  0.0000

Computed properties:
* crystal system: cubic
* E_tot: -1.53 eV/atom
* formation energy without anion corrections: 4.633 eV/f.u.
* relative energy among the computed polymorphs: 1.014 eV per atom

No. 11
## PrGaCl6 (GGA-PBE)

Data for PrGaCl6 after structural relaxation.

Lattice parameters (Å, degrees): 7.0528 7.0528 6.4541 97.30 97.30 125.17
Fractional positions:
Ga  0.5000  0.5000  0.5000
Cl  0.1516  0.4245  0.2825
Cl  0.2609  0.2609  0.7323
Cl  0.5755  0.8484  0.7175
Cl  0.8484  0.5755  0.7175
Cl  0.4245  0.1516  0.2825
Cl  0.7391  0.7391  0.2677
Pr  0.0000  0.0000  0.0000

Computed properties:
* crystal system: monoclinic
* E_tot: -3.94 eV/atom
* formation energy without anion corrections: -12.628 eV/f.u.

No. 12
## PrAgAsH (GGA-PBE)

Data for PrAgAsH after structural relaxation.

Lattice parameters (Å, degrees): 4.1488 4.1488 8.3172 90.00 90.00 90.00
Fractional positions:
As  0.5000  0.0000  0.7220
As  0.0000  0.5000  0.2780
H  0.0000  0.0000  0.0000
H  0.5000  0.5000  0.0000
Ag  0.0000  0.0000  0.5000
Ag  0.5000  0.5000  0.5000
Pr  0.0000  0.5000  0.8407
Pr  0.5000  0.0000  0.1593

Computed properties:
* crystal system: tetragonal
* E_tot: -4.61 eV/atom

Number 1: total moment 2.978 Bohr magnetons per cell. Number 2: total moment 24.063 Bohr magnetons per cell. Number 3: total moment 0.000 Bohr magnetons per cell. Number 4: total moment 1.448 Bohr magnetons per cell. Number 5: total moment 0.000 Bohr magnetons per cell. Number 6: total moment 0.000 Bohr magnetons per cell. Number 7: total moment 0.000 Bohr magnetons per cell. Number 8: total moment 2.915 Bohr magnetons per cell. Number 9: total moment 0.000 Bohr magnetons per cell. Number 10: total moment 0.000 Bohr magnetons per cell. Number 11: total moment 0.000 Bohr magnetons per cell. Number 12: total moment 0.000 Bohr magnetons per cell.